No. 1
BaLaTa2B | GGA-PBEsol | relaxed

Energy of formation from the pure elements: 2485 meV/atom

CIF file:
```
data_BaLaTa2B
_cell_length_a 5.1826
_cell_length_b 5.1826
_cell_length_c 4.8445
_cell_angle_alpha 90.00
_cell_angle_beta 90.00
_cell_angle_gamma 90.00
_symmetry_space_group_name_H-M 'P 4/m m m'
_symmetry_Int_Tables_number 123
_symmetry_space_group_name_Hall '-P 4 2'
loop_
_atom_site_label
_atom_site_type_symbol
_atom_site_fract_x
_atom_site_fract_y
_atom_site_fract_z
Ba1 Ba 0.0000 0.0000 0.0000
La1 La 0.5000 0.5000 0.5000
Ta1 Ta 0.0000 0.5000 0.0000
B1 B 0.0000 0.0000 0.5000
```



No. 2
Ba2MgB6O12 | GGA-PBEsol | relaxed

Uncorrected formation energy: -2.664 eV/atom

CIF file:
```
data_Ba2MgB6O12
_cell_length_a 7.0759
_cell_length_b 7.0759
_cell_length_c 16.5496
_cell_angle_alpha 90.00
_cell_angle_beta 90.00
_cell_angle_gamma 120.00
_symmetry_space_group_name_H-M 'R -3'
_symmetry_Int_Tables_number 148
_symmetry_space_group_name_Hall '-R 3'
loop_
_atom_site_label
_atom_site_type_symbol
_atom_site_fract_x
_atom_site_fract_y
_atom_site_fract_z
Ba1 Ba 0.0000 0.0000 0.2114
Mg1 Mg 0.0000 0.0000 0.0000
B1 B 0.0558 0.2250 0.5879
O1 O 0.0021 0.7660 0.0798
O2 O 0.0531 0.2162 0.4118
```



No. 3
BaMgBRu2 | GGA-PBEsol | relaxed

Energy of formation from the pure elements: 383 meV/atom

CIF file:
```
data_BaMgBRu2
_cell_length_a 4.3381
_cell_length_b 4.3381
_cell_length_c 4.4949
_cell_angle_alpha 90.00
_cell_angle_beta 90.00
_cell_angle_gamma 90.00
_symmetry_space_group_name_H-M 'P 4/m m m'
_symmetry_Int_Tables_number 123
_symmetry_space_group_name_Hall '-P 4 2'
loop_
_atom_site_label
_atom_site_type_symbol
_atom_site_fract_x
_atom_site_fract_y
_atom_site_fract_z
Ba1 Ba 0.0000 0.0000 0.0000
Mg1 Mg 0.5000 0.5000 0.0000
B1 B 0.5000 0.5000 0.5000
Ru1 Ru 0.0000 0.5000 0.5000
```



| no. | total magnetic moment (μB/cell) | electronic total energy (eV/cell) |
| --- | --- | --- |
| 1 | 0.00 | -27.189 |
| 2 | 0.00 | -501.151 |
| 3 | 0.02 | -29.311 |